*1*
Entry from OQMD via LeMat-Bulk: an optimized crystal structure of Sm2B2O5 (PBE-GGA).

Its total moment is 1.46 μB per formula unit.

a b c (Å): 3.641 3.641 9.157
angles (deg): 90.00 90.00 90.00
Positions (direct):
Sm1 0.000 0.000 0.246
Sm2 0.000 0.000 0.754
B1 0.500 0.500 0.000
B2 0.500 0.500 0.500
O1 0.000 0.000 0.000
O2 0.000 0.500 0.381
O3 0.000 0.500 0.619
O4 0.500 0.000 0.381
O5 0.500 0.000 0.619

---

*2*
Entry from OQMD via LeMat-Bulk: an optimized crystal structure of Sm2B2O5 (PBE-GGA).

Its total moment is 0.00 μB per formula unit.

a b c (Å): 3.575 3.575 6.840
angles (deg): 90.00 90.00 90.00
Positions (direct):
Sm1 0.000 0.000 0.000
Sm2 0.000 0.000 0.500
B1 0.500 0.500 0.229
B2 0.500 0.500 0.771
O1 0.000 0.500 0.251
O2 0.000 0.500 0.749
O3 0.500 0.000 0.251
O4 0.500 0.000 0.749
O5 0.500 0.500 0.000

---

Least stable structure: *1*